First-principles (PBE-GGA) data for a geometry-optimized Sm2HoTm4 structure, as listed in Alexandria.

a = 3.5830 Å, b = 3.5830 Å, c = 59.3168 Å
α = 90.00°, β = 90.00°, γ = 120.00°
Space group R3m (No. 160, hexagonal axes)
Asymmetric unit:
1 Sm 0.0000 0.0000 0.0000 [3 per cell]
2 Sm 0.0000 0.0000 0.0966 [3 per cell]
3 Ho 0.0000 0.0000 0.1919 [3 per cell]
4 Tm 0.0000 0.0000 0.2851 [3 per cell]
5 Tm 0.0000 0.0000 0.3819 [3 per cell]
6 Tm 0.0000 0.0000 0.8115 [3 per cell]
7 Tm 0.0000 0.0000 0.9055 [3 per cell]

Properties
M_tot = 0.000 μB per cell
DFT total energy = -31.86 eV per formula unit



First-principles (PBE-GGA) data for a geometry-optimized DyTm2Pd2 structure, as listed in Alexandria.

a = 7.730 Å, b = 7.730 Å, c = 3.920 Å
α = 90.00°, β = 90.00°, γ = 90.00°
Space group P4/mbm (No. 127)
Asymmetric unit:
1 Dy 0.000 0.000 0.000 [2 per cell]
2 Tm 0.163 0.337 0.500 [4 per cell]
3 Pd 0.134 0.634 0.000 [4 per cell]

Properties
M_tot = 0.000 μB per cell
DFT total energy = -27.71 eV per formula unit



First-principles (PBE-GGA) data for a geometry-optimized Cs4K4Au structure, as listed in Alexandria.

a = 12.305 Å, b = 12.305 Å, c = 9.116 Å
α = 90.00°, β = 90.00°, γ = 90.00°
Space group P4_2/n (No. 86, origin choice 2)
Asymmetric unit:
1 Cs 0.040 0.811 0.124 [8 per cell]
2 K 0.082 0.185 0.430 [8 per cell]
3 Au 0.250 0.250 0.750 [2 per cell]

Properties
M_tot = 0.000 μB per cell
DFT total energy = -11.65 eV per formula unit



First-principles (PBE-GGA) data for a geometry-optimized Pm4Sn5Hg3 structure, as listed in Alexandria.

a = 11.748 Å, b = 5.201 Å, c = 11.492 Å
α = 90.00°, β = 91.29°, γ = 90.00°
Space group C2/m (No. 12)
Asymmetric unit:
1 Pm 0.133 0.000 0.240 [4 per cell]
2 Pm 0.136 0.000 0.591 [4 per cell]
3 Sn 0.000 0.000 0.000 [2 per cell]
4 Sn 0.090 0.500 0.764 [4 per cell]
5 Sn 0.095 0.500 0.416 [4 per cell]
6 Hg 0.000 0.500 0.000 [2 per cell]
7 Hg 0.236 0.000 0.881 [4 per cell]

Properties
M_tot = 0.000 μB per cell
DFT total energy = -44.18 eV per formula unit